# 1
PmPaPb2 | PBE-GGA | relaxed

## Properties
Space-group type: No. 123
Calculated formation energy (kJ/mol of atoms): -13.2
Spin magnetization (μB/f.u.): 1.29
ΔE to the lowest computed polymorph (eV/f.u.): 0.15

a = 4.469 Å, b = 5.049 Å, c = 5.049 Å
α = 90.00°, β = 90.00°, γ = 90.00°
Site moments in Bohr magnetons follow the coordinates.
Element x y z (fractional)
Pb1 0.000 0.000 0.500  -0.01
Pb2 0.000 0.500 0.000  -0.01
Pm1 0.500 0.500 0.500  0.17
Pa1 0.500 0.000 0.000  0.88



# 2
NdMn6 | PBE-GGA | relaxed

## Properties
Space-group type: No. 229
Calculated formation energy (kJ/mol of atoms): 62.9
Spin magnetization (μB/f.u.): 0.00

a = 5.298 Å, b = 5.298 Å, c = 5.298 Å
α = 109.47°, β = 109.47°, γ = 109.47°
Element x y z (fractional)
Mn1 0.250 0.500 0.750
Mn2 0.750 0.500 0.250
Mn3 0.500 0.750 0.250
Mn4 0.750 0.250 0.500
Mn5 0.250 0.750 0.500
Mn6 0.500 0.250 0.750
Nd1 0.000 0.000 0.000



# 3
Li3Al | PBE-GGA | relaxed

## Properties
Space-group type: No. 166
Calculated formation energy (kJ/mol of atoms): -1.0
Spin magnetization (μB/f.u.): 0.00

a = 9.773 Å, b = 9.773 Å, c = 9.773 Å
α = 17.30°, β = 17.30°, γ = 17.30°
Element x y z (fractional)
Li1 0.744 0.744 0.744
Li2 0.256 0.256 0.256
Li3 0.500 0.500 0.500
Al1 0.000 0.000 0.000



# 4
Mg5Cd2In4 | PBE-GGA | relaxed

## Properties
Space-group type: No. 55
Calculated formation energy (kJ/mol of atoms): -6.8
Spin magnetization (μB/f.u.): 0.00
ΔE to the lowest computed polymorph (eV/f.u.): 0.00

a = 3.264 Å, b = 8.320 Å, c = 18.873 Å
α = 90.00°, β = 90.00°, γ = 90.00°
Element x y z (fractional)
Mg1 0.000 0.784 0.292
Mg2 0.000 0.000 0.500
Mg3 0.000 0.872 0.069
Mg4 0.000 0.128 0.931
Mg5 0.000 0.716 0.792
Mg6 0.000 0.500 0.000
Mg7 0.000 0.284 0.208
Mg8 0.000 0.216 0.708
Mg9 0.000 0.628 0.569
Mg10 0.000 0.372 0.431
In1 0.500 0.093 0.356
In2 0.500 0.593 0.144
In3 0.500 0.786 0.933
In4 0.500 0.286 0.567
In5 0.500 0.407 0.856
In6 0.500 0.907 0.644
In7 0.500 0.214 0.067
In8 0.500 0.714 0.433
Cd1 0.500 0.521 0.694
Cd2 0.500 0.021 0.806
Cd3 0.500 0.979 0.194
Cd4 0.500 0.479 0.306